Entry 1:
VASP calculation (SCAN) on a crystal of Mg5B3O9F relaxed with PBEsol.

Unit cell a=10.0632 b=14.8571 c=4.5372 alpha=90.00 beta=90.00 gamma=90.00
With the nearest neighbours (Å) after each atom.
Space group Pnma (No. 62)
Asymmetric unit:
Mg 0.0808 0.2500 0.0008 x4  1 F 1.99, 5 O 2.05-2.16
Mg 0.1313 0.0573 0.5002 x8  6 O 2.05-2.20
Mg 0.1517 0.6484 0.4900 x8  1 F 1.99, 5 O 2.06-2.12
B 0.0736 0.5754 0.0365 x8  3 O 1.38-1.40
B 0.2231 0.2500 0.4536 x4  3 O 1.38-1.39
O 0.0086 0.1350 0.8097 x8  1 B 1.40
O 0.0534 0.5539 0.7434 x8  1 B 1.38
O 0.1846 0.5452 0.1947 x8  1 B 1.40
O 0.2008 0.1709 0.2973 x8  1 B 1.39
O 0.2454 0.7500 0.2492 x4  1 B 1.38
F 0.0577 0.7500 0.6873 x4  3 Mg 1.99

Calculated values
E_form (uncorrected)	-3.01	eV/atom
crystal system	orthorhombic
uncorrected energy	-8.94	eV per atom


Entry 2:
VASP calculation (SCAN) on a crystal of BaBeSe2 relaxed with PBEsol.

Unit cell a=8.7536 b=5.0344 c=7.4820 alpha=90.00 beta=111.75 gamma=90.00
With the nearest neighbours (Å) after each atom.
Space group C2/m (No. 12)
Asymmetric unit:
Ba 0.0000 0.0000 0.0000 x2  6 Se 3.26-3.27
Be 0.0000 0.5000 0.5000 x2  2 Se 2.00
Se 0.1003 0.5000 0.7876 x4  1 Be 2.00

Calculated values
E_form (uncorrected)	-1.36	eV/atom
crystal system	monoclinic
uncorrected energy	-22.38	eV per atom


Entry 3:
VASP calculation (SCAN) on a crystal of TaRuW2 relaxed with PBEsol.

Unit cell a=5.2252 b=8.7416 c=2.7685 alpha=90.00 beta=90.00 gamma=90.00
With the nearest neighbours (Å) after each atom.
Space group Cmmm (No. 65)
Asymmetric unit:
Ta 0.0000 0.0000 0.0000 x2  2 Ru 2.61, 2 Ta 2.77, 8 W 2.90
Ru 0.0000 0.5000 0.0000 x2  2 Ta 2.61, 2 Ru 2.77, 8 W 2.90
W 0.2500 0.2500 0.5000 x4  4 W 2.61-2.77, 4 Ta 2.90, 4 Ru 2.90

Calculated values
excess energy over the best structure of this formula in the dataset	0	meV/atom
crystal system	orthorhombic
formation enthalpy at 0 K	0.93	eV per formula unit
uncorrected energy	-59.96	eV per atom


Entry 4:
VASP calculation (SCAN) on a crystal of ScInCl2 relaxed with PBEsol.

Unit cell a=3.1446 b=3.1446 c=9.0786 alpha=90.00 beta=90.00 gamma=90.00
With the nearest neighbours (Å) after each atom.
Space group P4/mmm (No. 123)
Asymmetric unit:
Sc 0.0000 0.0000 0.0000 x1  8 Cl 2.68
In 0.0000 0.0000 0.5000 x1  4 In 3.14
Cl 0.5000 0.5000 0.1655 x2  4 Sc 2.68, 1 Cl 3.01

Calculated values
excess energy over the best structure of this formula in the dataset	0	meV/atom
E_form (uncorrected)	-1.31	eV/atom
crystal system	tetragonal
uncorrected energy	-17.20	eV per atom


Entry 5:
VASP calculation (SCAN) on a crystal of LaCu2As relaxed with PBEsol.

Unit cell a=6.6780 b=6.6780 c=6.6780 alpha=90.00 beta=90.00 gamma=90.00
With the nearest neighbours (Å) after each atom.
Space group F-43m (No. 216)
Asymmetric unit:
La 0.0000 0.0000 0.0000 x4  4 Cu 2.89, 4 As 2.89
Cu 0.0000 0.0000 0.5000 x4  4 As 2.89, 4 Cu 2.89
Cu 0.2500 0.2500 0.7500 x4  4 La 2.89, 4 Cu 2.89
As 0.2500 0.2500 0.2500 x4  4 La 2.89, 4 Cu 2.89

Calculated values
crystal system	cubic
formation enthalpy at 0 K	-0.90	eV per formula unit
uncorrected energy	-23.65	eV per atom


Entry 6:
VASP calculation (SCAN) on a crystal of KFeCo relaxed with PBEsol.

Unit cell a=3.0814 b=3.0814 c=12.0327 alpha=90.00 beta=90.00 gamma=90.00
With the nearest neighbours (Å) after each atom.
Space group I4mm (No. 107)
Asymmetric unit:
K 0.0000 0.0000 0.0000 x2  4 K 3.08, 1 Fe 3.31, 5 Co 3.39-3.41
Fe 0.0000 0.0000 0.2750 x2  4 Co 2.28
Co 0.0000 0.0000 0.7183 x2  4 Fe 2.28

Calculated values
excess energy over the best structure of this formula in the dataset	0	meV/atom
crystal system	tetragonal
formation enthalpy at 0 K	2.20	eV per formula unit
uncorrected energy	-13.85	eV per atom


Entry 7:
VASP calculation (SCAN) on a crystal of BaTl2Co relaxed with PBEsol.

Unit cell a=3.5801 b=3.5801 c=7.9524 alpha=90.00 beta=90.00 gamma=90.00
With the nearest neighbours (Å) after each atom.
Space group P4mm (No. 99)
Asymmetric unit:
Ba 0.0000 0.0000 0.0000 x1  1 Tl 3.26, 4 Co 3.48, 4 Ba 3.58
Tl 0.0000 0.0000 0.4096 x1  4 Co 2.67
Tl 0.5000 0.5000 0.6687 x1  1 Co 2.92, 4 Tl 3.26
Co 0.5000 0.5000 0.3010 x1  5 Tl 2.67-2.92

Calculated values
crystal system	tetragonal
formation enthalpy at 0 K	0.74	eV per formula unit
uncorrected energy	-50.21	eV per atom


Entry 8:
VASP calculation (SCAN) on a crystal of CdW2O relaxed with PBEsol.

Unit cell a=6.1176 b=6.1176 c=6.1176 alpha=90.00 beta=90.00 gamma=90.00
With the nearest neighbours (Å) after each atom.
Space group Fm-3m (No. 225)
Asymmetric unit:
Cd 0.0000 0.0000 0.0000 x4  8 W 2.65
W 0.2500 0.2500 0.2500 x8  4 O 2.65, 4 Cd 2.65
O 0.0000 0.0000 0.5000 x4  8 W 2.65

Calculated values
E_form (uncorrected)	1.23	eV/atom
crystal system	cubic
uncorrected energy	-42.77	eV per atom


Entry 9:
VASP calculation (SCAN) on a crystal of LaTaSb2 relaxed with PBEsol.

Unit cell a=5.1985 b=5.1985 c=3.5283 alpha=90.00 beta=90.00 gamma=90.00
With the nearest neighbours (Å) after each atom.
Space group P4/mmm (No. 123)
Asymmetric unit:
La 0.0000 0.0000 0.0000 x1  8 Sb 3.14
Ta 0.5000 0.5000 0.0000 x1  8 Sb 3.14
Sb 0.0000 0.5000 0.5000 x2  4 Ta 3.14, 4 La 3.14

Calculated values
excess energy over the best structure of this formula in the dataset	363	meV/atom
E_form (uncorrected)	-0.08	eV/atom
crystal system	tetragonal
uncorrected energy	-46.13	eV per atom


Entry 10:
VASP calculation (SCAN) on a crystal of CdOsAu2 relaxed with PBEsol.

Unit cell a=2.7744 b=4.7652 c=4.9845 alpha=90.00 beta=90.00 gamma=90.00
With the nearest neighbours (Å) after each atom.
Space group Pmm2 (No. 25)
Asymmetric unit:
Cd 0.0000 0.0000 0.0000 x1  2 Cd 2.77, 8 Au 2.80-2.91, 2 Os 2.98
Os 0.0000 0.5000 0.3582 x1  2 Os 2.77, 8 Au 2.81-2.90, 2 Cd 2.98
Au 0.5000 0.0000 0.4872 x1  4 Au 2.77-2.99, 4 Cd 2.80-2.91, 4 Os 2.83
Au 0.5000 0.5000 0.8482 x1  4 Au 2.77-2.99, 4 Os 2.81-2.90, 4 Cd 2.86

Calculated values
crystal system	orthorhombic
formation enthalpy at 0 K	1.62	eV per formula unit
uncorrected energy	-59.75	eV per atom


Entry 11:
VASP calculation (SCAN) on a crystal of LaMg2Ru relaxed with PBEsol.

Unit cell a=4.0215 b=4.0215 c=5.1994 alpha=90.00 beta=90.00 gamma=90.00
With the nearest neighbours (Å) after each atom.
Space group P4/mmm (No. 123)
Asymmetric unit:
La 0.0000 0.0000 0.0000 x1  4 Ru 2.84
Mg 0.0000 0.5000 0.5000 x2  4 Mg 2.84
Ru 0.5000 0.5000 0.0000 x1  4 La 2.84

Calculated values
crystal system	tetragonal
formation enthalpy at 0 K	0.09	eV per formula unit
uncorrected energy	-21.95	eV per atom


Entry 12:
VASP calculation (SCAN) on a crystal of BeSe5 relaxed with PBEsol.

Unit cell a=6.2673 b=6.2673 c=3.3936 alpha=90.00 beta=90.00 gamma=120.00
With the nearest neighbours (Å) after each atom.
Space group P-62m (No. 189)
Asymmetric unit:
Be 0.0000 0.0000 0.0000 x1  6 Se 2.40
Se 0.0000 0.2713 0.5000 x3  2 Be 2.40
Se 0.3333 0.6667 0.0000 x2  6 Se 2.86

Calculated values
E_form (uncorrected)	0.36	eV/atom
crystal system	hexagonal
uncorrected energy	-17.10	eV per atom


Entry 13:
VASP calculation (SCAN) on a crystal of RbLaB2Pd relaxed with PBEsol.

Unit cell a=4.2938 b=4.2938 c=5.2741 alpha=90.00 beta=90.00 gamma=90.00
With the nearest neighbours (Å) after each atom.
Space group P4/mmm (No. 123)
Asymmetric unit:
Rb 0.0000 0.0000 0.0000 x1  2 Pd 2.64
La 0.5000 0.5000 0.0000 x1  4 Rb 3.04, 8 B 3.40
B 0.0000 0.5000 0.5000 x2  2 Pd 2.15
Pd 0.0000 0.0000 0.5000 x1  4 B 2.15

Calculated values
crystal system	tetragonal
formation enthalpy at 0 K	5.02	eV per formula unit
uncorrected energy	-21.29	eV per atom


Entry 14:
VASP calculation (SCAN) on a crystal of KRuAu2 relaxed with PBEsol.

Unit cell a=2.6861 b=4.7289 c=6.4482 alpha=90.00 beta=90.19 gamma=90.00
With the nearest neighbours (Å) after each atom.
Space group Pm (No. 6)
Asymmetric unit:
K 0.0000 0.0000 0.0000 x1  2 K 2.69
Ru 0.9950 0.5000 0.3889 x1  6 Au 2.67-2.75, 2 Ru 2.69
Au 0.4958 0.0000 0.4489 x1  2 Au 2.69, 4 Ru 2.75
Au 0.4980 0.5000 0.7476 x1  2 Ru 2.67-2.68, 2 Au 2.69

Calculated values
excess energy over the best structure of this formula in the dataset	69	meV/atom
crystal system	monoclinic
formation enthalpy at 0 K	1.29	eV per formula unit
uncorrected energy	-45.04	eV per atom


Entry 15:
VASP calculation (SCAN) on a crystal of ScFe2Cu relaxed with PBEsol.

Unit cell a=3.0070 b=3.0070 c=5.9356 alpha=90.00 beta=90.00 gamma=90.00
With the nearest neighbours (Å) after each atom.
Space group P4mm (No. 99)
Asymmetric unit:
Sc 0.0000 0.0000 0.0000 x1  5 Fe 2.69-2.84, 4 Cu 2.75, 4 Sc 3.01
Fe 0.0000 0.0000 0.5222 x1  4 Fe 2.43, 4 Cu 2.53
Fe 0.5000 0.5000 0.7213 x1  4 Fe 2.43, 1 Cu 2.55, 4 Sc 2.69
Cu 0.5000 0.5000 0.2926 x1  5 Fe 2.53-2.55, 4 Sc 2.75

Calculated values
crystal system	tetragonal
formation enthalpy at 0 K	-0.06	eV per formula unit
uncorrected energy	-16.44	eV per atom


Entry 16:
VASP calculation (SCAN) on a crystal of ReSnO3 relaxed with PBEsol.

Unit cell a=3.9513 b=3.9513 c=3.9513 alpha=90.00 beta=90.00 gamma=90.00
With the nearest neighbours (Å) after each atom.
Space group Pm-3m (No. 221)
Asymmetric unit:
Re 0.0000 0.0000 0.0000 x1  6 O 1.98
Sn 0.5000 0.5000 0.5000 x1  12 O 2.79
O 0.0000 0.0000 0.5000 x3  2 Re 1.98

Calculated values
E_form (uncorrected)	-1.03	eV/atom
crystal system	cubic
uncorrected energy	-26.17	eV per atom


Entry 17:
VASP calculation (SCAN) on a crystal of TlSb2TeMo relaxed with PBEsol.

Unit cell a=5.5113 b=5.5113 c=5.5676 alpha=90.00 beta=90.00 gamma=90.00
With the nearest neighbours (Å) after each atom.
Space group P4/mmm (No. 123)
Asymmetric unit:
Tl 0.0000 0.0000 0.0000 x1  4 Sb 2.76, 2 Te 2.78
Sb 0.0000 0.5000 0.0000 x2  2 Tl 2.76
Te 0.0000 0.0000 0.5000 x1  2 Tl 2.78
Mo 0.5000 0.5000 0.5000 x1  4 Te 3.90, 8 Sb 3.92

Calculated values
E_form (uncorrected)	1.50	eV/atom
crystal system	tetragonal
uncorrected energy	-42.30	eV per atom


Entry 18:
VASP calculation (SCAN) on a crystal of TiAl2Cl8 relaxed with PBEsol.

Unit cell a=17.1483 b=7.8894 c=11.6578 alpha=90.00 beta=129.99 gamma=90.00
With the nearest neighbours (Å) after each atom.
Space group C2/c (No. 15)
Asymmetric unit:
Ti 0.0000 0.0000 0.2500 x4  6 Cl 2.50-2.51
Al 0.0866 0.2447 0.0324 x8  4 Cl 2.10-2.18
Cl 0.0671 0.2259 0.6830 x8  1 Al 2.18
Cl 0.0853 0.2304 0.2183 x8  1 Al 2.18
Cl 0.1530 0.0152 0.0230 x8  1 Al 2.18
Cl 0.1599 0.4690 0.0525 x8  1 Al 2.10

Calculated values
E_form (uncorrected)	-1.70	eV/atom
crystal system	monoclinic
uncorrected energy	-10.36	eV per atom


Entry 19:
VASP calculation (SCAN) on a crystal of SbAsBr2 relaxed with PBEsol.

Unit cell a=3.3692 b=6.0213 c=9.8354 alpha=90.00 beta=90.00 gamma=90.00
With the nearest neighbours (Å) after each atom.
Space group Cmm2 (No. 35)
Asymmetric unit:
Sb 0.0000 0.0000 0.0000 x2  2 Br 2.83, 2 As 2.96
As 0.0000 0.5000 0.2471 x2  2 Br 2.66, 2 Sb 2.96
Br 0.0000 0.0000 0.4571 x2  2 As 2.66
Br 0.0000 0.5000 0.7688 x2  2 Sb 2.83

Calculated values
excess energy over the best structure of this formula in the dataset	0	meV/atom
E_form (uncorrected)	0.21	eV/atom
crystal system	orthorhombic
uncorrected energy	-23.88	eV per atom


Entry 20:
VASP calculation (SCAN) on a crystal of ZrC3Cl relaxed with PBEsol.

Unit cell a=4.3793 b=4.3793 c=4.3793 alpha=90.00 beta=90.00 gamma=90.00
With the nearest neighbours (Å) after each atom.
Space group Pm-3m (No. 221)
Asymmetric unit:
Zr 0.0000 0.0000 0.0000 x1  6 C 2.19
C 0.0000 0.0000 0.5000 x3  2 Zr 2.19
Cl 0.5000 0.5000 0.5000 x1  12 C 3.10

Calculated values
E_form (uncorrected)	2.53	eV/atom
crystal system	cubic
uncorrected energy	-11.26	eV per atom


Entry 21:
VASP calculation (SCAN) on a crystal of Li2NiRu relaxed with PBEsol.

Unit cell a=3.4243 b=3.4243 c=4.1567 alpha=90.00 beta=90.00 gamma=90.00
With the nearest neighbours (Å) after each atom.
Space group P4/mmm (No. 123)
Asymmetric unit:
Li 0.0000 0.5000 0.0000 x2  4 Li 2.42, 4 Ru 2.69, 4 Ni 2.69
Ni 0.0000 0.0000 0.5000 x1  4 Ru 2.42, 8 Li 2.69
Ru 0.5000 0.5000 0.5000 x1  4 Ni 2.42, 8 Li 2.69

Calculated values
excess energy over the best structure of this formula in the dataset	144	meV/atom
crystal system	tetragonal
formation enthalpy at 0 K	0.75	eV per formula unit
uncorrected energy	-13.76	eV per atom


Entry 22:
VASP calculation (SCAN) on a crystal of CaNiIr2 relaxed with PBEsol.

Unit cell a=2.8001 b=4.6087 c=9.6006 alpha=90.00 beta=90.00 gamma=90.00
With the nearest neighbours (Å) after each atom.
Space group Imm2 (No. 44)
Asymmetric unit:
Ca 0.0000 0.0000 0.0000 x2  4 Ir 2.70, 2 Ca 2.80, 2 Ni 2.94
Ni 0.0000 0.5000 0.2301 x2  6 Ir 2.53-2.74, 2 Ni 2.80
Ir 0.0000 0.0000 0.5104 x2  2 Ni 2.53, 4 Ir 2.61-2.80, 4 Ca 2.70
Ir 0.0000 0.5000 0.7810 x2  4 Ir 2.61-2.80, 4 Ni 2.74

Calculated values
excess energy over the best structure of this formula in the dataset	49	meV/atom
crystal system	orthorhombic
formation enthalpy at 0 K	0.73	eV per formula unit
uncorrected energy	-41.83	eV per atom


Entry 23:
VASP calculation (SCAN) on a crystal of La2InSe relaxed with PBEsol.

Unit cell a=4.4106 b=4.4106 c=6.2587 alpha=90.00 beta=90.00 gamma=90.00
With the nearest neighbours (Å) after each atom.
Space group P4/mmm (No. 123)
Asymmetric unit:
La 0.0000 0.0000 0.0000 x1  4 Se 3.12, 2 In 3.13
La 0.5000 0.5000 0.5000 x1  4 In 3.12, 2 Se 3.13
In 0.0000 0.0000 0.5000 x1  6 La 3.12-3.13
Se 0.5000 0.5000 0.0000 x1  6 La 3.12-3.13

Calculated values
excess energy over the best structure of this formula in the dataset	24	meV/atom
E_form (uncorrected)	-1.33	eV/atom
crystal system	tetragonal
uncorrected energy	-36.25	eV per atom


Entry 24:
VASP calculation (SCAN) on a crystal of Li4Mn3Cr2Sn3O16 relaxed with PBEsol.

Unit cell a=10.2877 b=6.0710 c=9.4396 alpha=90.00 beta=90.23 gamma=90.00
With the nearest neighbours (Å) after each atom.
Space group Cm (No. 8)
Asymmetric unit:
Li 0.0000 0.0000 0.0000 x2  2 O 1.77-1.88
Li 0.0091 0.0000 0.5095 x2  3 O 1.76-1.93
Li 0.2014 0.5000 0.6165 x2  4 O 2.00-2.02
Li 0.3585 0.0000 0.1028 x2  4 O 1.95-2.01
Mn 0.3572 0.5000 0.2871 x2  6 O 1.89-2.09
Mn 0.4407 0.2408 0.7856 x4  6 O 1.92-2.10
Cr 0.1913 0.5000 0.0093 x2  6 O 1.95-2.07
Cr 0.3678 0.0000 0.5197 x2  6 O 1.97-2.09
Sn 0.1118 0.2540 0.2873 x4  6 O 2.06-2.08
Sn 0.1926 0.0000 0.7916 x2  6 O 2.05-2.10
O 0.0104 0.5000 0.6593 x2  1 Cr 1.97, 1 Li 2.01, 2 Mn 2.02
O 0.0135 0.0000 0.6955 x2  1 Li 1.76, 2 Mn 1.94
O 0.0162 0.0000 0.1866 x2  1 Li 1.77, 1 Mn 1.89
O 0.0419 0.5000 0.1537 x2  1 Li 1.95, 1 Cr 2.06, 2 Sn 2.08
O 0.0965 0.2480 0.9032 x4  1 Mn 1.95, 1 Li 2.02, 1 Cr 2.07, 1 Sn 2.09
O 0.1918 0.0000 0.4078 x2  2 Sn 2.08, 1 Cr 2.09, 1 Li 2.11
O 0.2052 0.5000 0.4028 x2  1 Mn 1.91, 1 Li 2.02, 2 Sn 2.08
O 0.2649 0.2828 0.1467 x4  1 Cr 2.00, 1 Li 2.01, 1 Sn 2.07, 1 Mn 2.09
O 0.2942 0.2186 0.6591 x4  1 Mn 1.92, 1 Li 2.00, 1 Cr 2.02, 1 Sn 2.10
O 0.3464 0.5000 0.8918 x2  1 Li 1.88, 1 Cr 1.95
O 0.3677 0.0000 0.8963 x2  2 Mn 1.95, 1 Li 1.95, 1 Sn 2.05
O 0.4436 0.2486 0.4060 x4  1 Li 1.93, 1 Cr 2.01, 1 Sn 2.07, 1 Mn 2.09

Calculated values
E_form (uncorrected)	-2.10	eV/atom
crystal system	monoclinic
uncorrected energy	-13.12	eV per atom